Material: Sr3SbI
Method: DFT, PBE-GGA
State: relaxed

Geometry as CIF:
```
data_Sr3SbI
_cell_length_a 6.3609
_cell_length_b 6.3609
_cell_length_c 6.3609
_cell_angle_alpha 90.00
_cell_angle_beta 90.00
_cell_angle_gamma 90.00
_space_group_name_H-M_alt 'P m -3 m'
_space_group_IT_number 221
_space_group_name_Hall '-P 4 2 3'
loop_
_atom_site_label
_atom_site_fract_x
_atom_site_fract_y
_atom_site_fract_z
Sr1 0.0000 0.0000 0.5000
Sb1 0.0000 0.0000 0.0000
I1 0.5000 0.5000 0.5000
```

Calculated values
The calculation puts the calculated total energy at -2.77 eV per atom. For the formation energy from raw total energies, the calculation gives -0.631 eV per atom.